Entry 1:
The following is a PBE calculation of an optimized crystal structure of Tb2DySc, from Alexandria via LeMat-Bulk.

Calculated values
energy above the lowest structure with this stoichiometry	9.9	meV per atom
DFT formation energy	17	kJ/mol of formula units

Cell lengths 3.495, 3.495, 11.454 Å; angles 81.23, 81.23, 60.00 degrees
Element x y z (fractional)
Tb  0.253  0.253  0.241
Tb  0.747  0.747  0.759
Sc  0.000  0.000  0.000
Dy  0.500  0.500  0.500

Entry 2:
The following is a PBE calculation of an optimized crystal structure of Tb4Dy6Sc, from Alexandria via LeMat-Bulk.

Calculated values
energy above the lowest structure with this stoichiometry	0.0	meV per atom
DFT formation energy	145	kJ/mol of formula units

Cell lengths 5.649, 5.543, 25.458 Å; angles 90.00, 90.00, 120.64 degrees
Element x y z (fractional)
Sc  0.810  0.621  0.250
Sc  0.190  0.379  0.750
Dy  0.808  0.616  0.108
Dy  0.141  0.282  0.183
Dy  0.859  0.718  0.817
Dy  0.524  0.048  0.750
Dy  0.476  0.952  0.250
Dy  0.500  0.000  0.500
Dy  0.141  0.282  0.317
Dy  0.192  0.384  0.608
Dy  0.500  0.000  0.000
Dy  0.808  0.616  0.392
Dy  0.859  0.718  0.683
Dy  0.192  0.384  0.892
Tb  0.469  0.938  0.122
Tb  0.531  0.062  0.622
Tb  0.469  0.938  0.378
Tb  0.844  0.688  0.544
Tb  0.531  0.062  0.878
Tb  0.156  0.312  0.456
Tb  0.844  0.688  0.956
Tb  0.156  0.312  0.044

Entry 3:
The following is a PBE calculation of an optimized crystal structure of Tb12DySc7, from Alexandria via LeMat-Bulk.

Calculated values
energy above the lowest structure with this stoichiometry	506.6	meV per atom
DFT formation energy	1303	kJ/mol of formula units

Cell lengths 9.518, 9.518, 9.518 Å; angles 109.47, 109.47, 109.47 degrees
Element x y z (fractional)
Tb  0.479  0.738  0.741
Tb  0.521  0.262  0.259
Tb  0.997  0.738  0.259
Tb  0.259  0.521  0.262
Tb  0.262  0.741  0.003
Tb  0.741  0.479  0.738
Tb  0.741  0.003  0.262
Tb  0.738  0.741  0.479
Tb  0.259  0.997  0.738
Tb  0.738  0.259  0.997
Tb  0.262  0.259  0.521
Tb  0.003  0.262  0.741
Sc  0.000  0.500  0.500
Sc  0.000  0.500  0.000
Sc  0.500  0.000  0.000
Sc  0.500  0.500  0.000
Sc  0.500  0.500  0.500
Sc  0.500  0.000  0.500
Sc  0.000  0.000  0.500
Dy  0.000  0.000  0.000

Entry 4:
The following is a PBE calculation of an optimized crystal structure of Tb2Dy4Sc, from Alexandria via LeMat-Bulk.

Calculated values
energy above the lowest structure with this stoichiometry	0.0	meV per atom
DFT formation energy	96	kJ/mol of formula units

Cell lengths 6.026, 6.506, 11.371 Å; angles 90.00, 104.78, 90.00 degrees
Element x y z (fractional)
Tb  0.390  0.250  0.000
Tb  0.281  0.250  0.423
Tb  0.719  0.750  0.577
Tb  0.610  0.750  0.000
Dy  0.151  0.750  0.441
Dy  0.355  0.006  0.713
Dy  0.355  0.494  0.713
Dy  0.032  0.750  0.867
Dy  0.849  0.250  0.559
Dy  0.645  0.994  0.287
Dy  0.968  0.250  0.133
Dy  0.645  0.506  0.287
Sc  0.849  0.250  0.838
Sc  0.151  0.750  0.162